[1]
Material: BaYAgI6
Method: DFT, GGA-PBE
State: relaxed

a = 7.8871 Å, b = 7.8871 Å, c = 15.0628 Å
α = 90.00°, β = 90.00°, γ = 120.00°
Closest atoms and distances in Å follow each position.
Fractional positions:
Ba 0.0000 0.0000 0.0000  6 I 3.50
Ba 0.0000 0.0000 0.5000  6 I 3.50
Y 0.3333 0.6667 0.2500  6 I 3.05
Y 0.6667 0.3333 0.7500  6 I 3.05
Ag 0.3333 0.6667 0.7500  6 I 3.09
Ag 0.6667 0.3333 0.2500  6 I 3.09
I 0.0037 0.3646 0.1339  1 Y 3.05, 1 Ag 3.09
I 0.0037 0.6391 0.3661  1 Y 3.05, 1 Ag 3.09
I 0.3609 0.3646 0.3661  1 Y 3.05, 1 Ag 3.09
I 0.3609 0.9963 0.1339  1 Y 3.05, 1 Ag 3.09
I 0.3646 0.0037 0.6339  1 Y 3.05, 1 Ag 3.09
I 0.3646 0.3609 0.8661  1 Y 3.05, 1 Ag 3.09
I 0.6354 0.6391 0.1339  1 Y 3.05, 1 Ag 3.09
I 0.6354 0.9963 0.3661  1 Y 3.05, 1 Ag 3.09
I 0.6391 0.0037 0.8661  1 Y 3.05, 1 Ag 3.09
I 0.6391 0.6354 0.6339  1 Y 3.05, 1 Ag 3.09
I 0.9963 0.3609 0.6339  1 Y 3.05, 1 Ag 3.09
I 0.9963 0.6354 0.8661  1 Y 3.05, 1 Ag 3.09

## Properties
- space-group type = P-31c
- ΔE_f (raw) (eV/f.u.) = -11.01
- energy (eV per cell) = -63.10
- density of states at the Fermi level (states/eV/f.u.) = 0.0

=====

[2]
Material: Ba3InAg3
Method: DFT, GGA-PBE
State: relaxed

a = 9.9539 Å, b = 9.9539 Å, c = 6.7946 Å
α = 90.00°, β = 90.00°, γ = 120.00°
Closest atoms and distances in Å follow each position.
Fractional positions:
Ba 0.0637 0.3715 0.2500  5 Ag 3.39-3.42, 1 In 3.78
Ba 0.3078 0.9363 0.2500  5 Ag 3.39-3.42, 1 In 3.78
Ba 0.3715 0.3078 0.7500  5 Ag 3.39-3.42, 1 In 3.78
Ba 0.6285 0.6922 0.2500  5 Ag 3.39-3.42, 1 In 3.78
Ba 0.6922 0.0637 0.7500  5 Ag 3.39-3.42, 1 In 3.78
Ba 0.9363 0.6285 0.7500  5 Ag 3.39-3.42, 1 In 3.78
In 0.3333 0.6667 0.7500  3 Ag 2.82
In 0.6667 0.3333 0.2500  3 Ag 2.82
Ag 0.0642 0.3702 0.7500  1 In 2.82
Ag 0.3060 0.9358 0.7500  1 In 2.82
Ag 0.3702 0.3060 0.2500  1 In 2.82
Ag 0.6298 0.6940 0.7500  1 In 2.82
Ag 0.6940 0.0642 0.2500  1 In 2.82
Ag 0.9358 0.6298 0.2500  1 In 2.82

## Properties
- space-group type = P6_3/m
- formation energy (kJ/mol of formula units) = -97
- energy (eV per cell) = -36.13
- density of states at the Fermi level (states/eV/f.u.) = 4.9

=====

[3]
Material: Ba11In9Ag4
Method: DFT, GGA-PBE
State: relaxed

a = 14.8310 Å, b = 14.8310 Å, c = 4.2648 Å
α = 90.00°, β = 90.00°, γ = 112.72°
Closest atoms and distances in Å follow each position.
Fractional positions:
Ba 0.0000 0.0000 0.0000  8 In 3.68, 2 Ba 4.04
Ba 0.0560 0.4081 0.0000  2 Ag 3.30, 2 In 3.67
Ba 0.1637 0.8363 0.0000  8 In 3.73-4.04, 3 Ba 3.83-4.04
Ba 0.3066 0.3066 0.0000  4 Ag 3.41, 4 In 3.72
Ba 0.3742 0.6258 0.0000  4 Ag 3.39, 6 In 3.70-3.77
Ba 0.4081 0.0560 0.0000  2 Ag 3.30, 2 In 3.67
Ba 0.5919 0.9440 0.0000  2 Ag 3.30, 2 In 3.67
Ba 0.6258 0.3742 0.0000  4 Ag 3.39, 6 In 3.70-3.77
Ba 0.6934 0.6934 0.0000  4 Ag 3.41, 4 In 3.72
Ba 0.8363 0.1637 0.0000  8 In 3.73-4.04, 3 Ba 3.83-4.04
Ba 0.9440 0.5919 0.0000  2 Ag 3.30, 2 In 3.67
In 0.0837 0.2190 0.5000  1 Ag 3.27, 1 In 3.34
In 0.1736 0.6337 0.5000  1 In 3.17, 1 Ag 3.24
In 0.2190 0.0837 0.5000  1 Ag 3.27, 1 In 3.34
In 0.3663 0.8264 0.5000  1 In 3.17, 1 Ag 3.24
In 0.5000 0.5000 0.5000  4 Ag 3.67, 8 Ba 3.77-3.83
In 0.6337 0.1736 0.5000  1 In 3.17, 1 Ag 3.24
In 0.7810 0.9163 0.5000  1 Ag 3.27, 1 In 3.34
In 0.8264 0.3663 0.5000  1 In 3.17, 1 Ag 3.24
In 0.9163 0.7810 0.5000  1 Ag 3.27, 1 In 3.34
Ag 0.2371 0.4475 0.5000  2 In 3.24-3.27, 6 Ba 3.30-3.41
Ag 0.4475 0.2371 0.5000  2 In 3.24-3.27, 6 Ba 3.30-3.41
Ag 0.5525 0.7629 0.5000  2 In 3.24-3.27, 6 Ba 3.30-3.41
Ag 0.7629 0.5525 0.5000  2 In 3.24-3.27, 6 Ba 3.30-3.41

## Properties
- space-group type = Cmmm
- formation energy (kJ/mol of formula units) = -806
- energy (eV per cell) = -65.56
- density of states at the Fermi level (states/eV/f.u.) = 17.6

=====

[4]
Material: BaIn7Ag12
Method: DFT, GGA-PBE
State: relaxed

a = 8.7037 Å, b = 8.7037 Å, c = 8.7037 Å
α = 112.25°, β = 112.25°, γ = 112.25°
Closest atoms and distances in Å follow each position.
Fractional positions:
Ba 0.0000 0.0000 0.0000  12 Ag 3.51-3.90, 8 In 3.71-3.75
In 0.2045 0.2045 0.5515  7 Ag 2.85-3.11
In 0.2045 0.5515 0.2045  7 Ag 2.85-3.11
In 0.4485 0.7955 0.7955  7 Ag 2.85-3.11
In 0.5000 0.5000 0.5000  6 In 3.19, 6 Ag 3.31
In 0.5515 0.2045 0.2045  7 Ag 2.85-3.11
In 0.7955 0.4485 0.7955  7 Ag 2.85-3.11
In 0.7955 0.7955 0.4485  7 Ag 2.85-3.11
Ag 0.0000 0.2699 0.7301  4 In 2.85-3.11, 4 Ag 2.87-2.94
Ag 0.0000 0.7301 0.2699  4 In 2.85-3.11, 4 Ag 2.87-2.94
Ag 0.0472 0.3890 0.3890  3 Ag 2.78-2.87, 3 In 2.89-3.01
Ag 0.2699 0.0000 0.7301  4 In 2.85-3.11, 4 Ag 2.87-2.94
Ag 0.2699 0.7301 0.0000  4 In 2.85-3.11, 4 Ag 2.87-2.94
Ag 0.3890 0.0472 0.3890  3 Ag 2.78-2.87, 3 In 2.89-3.01
Ag 0.3890 0.3890 0.0472  3 Ag 2.78-2.87, 3 In 2.89-3.01
Ag 0.6110 0.6110 0.9528  3 Ag 2.78-2.87, 3 In 2.89-3.01
Ag 0.6110 0.9528 0.6110  3 Ag 2.78-2.87, 3 In 2.89-3.01
Ag 0.7301 0.0000 0.2699  4 In 2.85-3.11, 4 Ag 2.87-2.94
Ag 0.7301 0.2699 0.0000  4 In 2.85-3.11, 4 Ag 2.87-2.94
Ag 0.9528 0.6110 0.6110  3 Ag 2.78-2.87, 3 In 2.89-3.01

## Properties
- space-group type = R-3m
- formation energy (kJ/mol of formula units) = -34
- energy (eV per cell) = -55.66
- density of states at the Fermi level (states/eV/f.u.) = 6.3

=====

[5]
Material: BaIn3Ag6
Method: DFT, GGA-PBE
State: relaxed

a = 7.4141 Å, b = 7.7266 Å, c = 9.6215 Å
α = 90.00°, β = 122.28°, γ = 90.00°
Closest atoms and distances in Å follow each position.
Fractional positions:
Ba 0.0000 0.0000 0.0000  6 Ag 3.39-3.61, 6 In 3.65-3.73
Ba 0.0000 0.5000 0.5000  6 Ag 3.39-3.61, 6 In 3.65-3.73
In 0.2670 0.1395 0.4373  5 Ag 2.81-2.99
In 0.2670 0.3605 0.9373  5 Ag 2.81-2.99
In 0.5000 0.0000 0.0000  6 Ag 2.82-3.06
In 0.5000 0.5000 0.5000  6 Ag 2.82-3.06
In 0.7330 0.6395 0.0627  5 Ag 2.81-2.99
In 0.7330 0.8605 0.5627  5 Ag 2.81-2.99
Ag 0.1456 0.0380 0.6723  3 In 2.84-2.98, 5 Ag 2.89-3.03
Ag 0.1456 0.4620 0.1723  3 In 2.84-2.98, 5 Ag 2.89-3.03
Ag 0.2215 0.7155 0.8624  2 In 2.81-2.82, 4 Ag 2.90-2.98
Ag 0.2215 0.7845 0.3624  2 In 2.81-2.82, 4 Ag 2.90-2.98
Ag 0.4936 0.7089 0.2272  4 In 2.97-3.15, 4 Ag 2.97-3.03
Ag 0.4936 0.7911 0.7272  4 In 2.97-3.15, 4 Ag 2.97-3.03
Ag 0.5064 0.2089 0.2728  4 In 2.97-3.15, 4 Ag 2.97-3.03
Ag 0.5064 0.2911 0.7728  4 In 2.97-3.15, 4 Ag 2.97-3.03
Ag 0.7785 0.2155 0.6376  2 In 2.81-2.82, 4 Ag 2.90-2.98
Ag 0.7785 0.2845 0.1376  2 In 2.81-2.82, 4 Ag 2.90-2.98
Ag 0.8544 0.5380 0.8277  3 In 2.84-2.98, 5 Ag 2.89-3.03
Ag 0.8544 0.9620 0.3277  3 In 2.84-2.98, 5 Ag 2.89-3.03

## Properties
- space-group type = P2_1/c
- formation energy (kJ/mol of formula units) = -98
- energy (eV per cell) = -56.52
- density of states at the Fermi level (states/eV/f.u.) = 4.1

=====

[6]
Material: BaInAg2
Method: DFT, GGA-PBE
State: relaxed

a = 4.2617 Å, b = 4.7744 Å, c = 6.0159 Å
α = 90.00°, β = 105.21°, γ = 90.00°
Closest atoms and distances in Å follow each position.
Fractional positions:
Ba 0.0000 0.0000 0.0000  6 Ag 3.18-3.51
In 0.7373 0.5000 0.4104  4 Ag 2.93-3.08
Ag 0.3969 0.0000 0.5270  2 Ag 2.81, 2 In 2.97
Ag 0.3971 0.5000 0.7744  2 Ag 2.81, 2 In 2.93-3.08

## Properties
- space-group type = Pm
- formation energy (kJ/mol of formula units) = -55
- energy (eV per cell) = -10.93
- density of states at the Fermi level (states/eV/f.u.) = 2.0

=====

[7]
Material: Ba2InAg7
Method: DFT, GGA-PBE
State: relaxed

a = 4.7216 Å, b = 4.7216 Å, c = 11.7935 Å
α = 90.00°, β = 90.00°, γ = 90.00°
Closest atoms and distances in Å follow each position.
Fractional positions:
Ba 0.0000 0.5000 0.2426  14 Ag 3.59-3.85, 2 In 3.85
Ba 0.5000 0.0000 0.7574  14 Ag 3.59-3.85, 2 In 3.85
In 0.0000 0.0000 0.5000  4 Ag 2.85
Ag 0.0000 0.0000 0.0000  4 Ag 2.82
Ag 0.0000 0.5000 0.6349  3 Ag 2.76-2.85, 2 In 2.85
Ag 0.0000 0.5000 0.8687  5 Ag 2.76-2.82
Ag 0.5000 0.0000 0.1313  5 Ag 2.76-2.82
Ag 0.5000 0.0000 0.3651  3 Ag 2.76-2.85, 2 In 2.85
Ag 0.5000 0.5000 0.0000  4 Ag 2.82
Ag 0.5000 0.5000 0.5000  4 Ag 2.85

## Properties
- space-group type = P-4m2
- formation energy (kJ/mol of formula units) = -167
- energy (eV per cell) = -28.27
- density of states at the Fermi level (states/eV/f.u.) = 4.4

=====

[8]
Material: BaIn2Ag
Method: DFT, GGA-PBE
State: relaxed

a = 10.6016 Å, b = 10.6016 Å, c = 10.6016 Å
α = 150.70°, β = 150.70°, γ = 41.92°
Closest atoms and distances in Å follow each position.
Fractional positions:
Ba 0.0000 0.0000 0.0000  4 In 3.57, 4 Ag 3.79
Ba 0.7500 0.2500 0.5000  4 In 3.57, 4 Ag 3.79
In 0.2837 0.6250 0.1587  2 In 2.85, 2 Ag 2.86
In 0.3750 0.5337 0.6587  2 In 2.85, 2 Ag 2.86
In 0.4663 0.1250 0.8413  2 In 2.85, 2 Ag 2.86
In 0.8750 0.7163 0.3413  2 In 2.85, 2 Ag 2.86
Ag 0.2500 0.7500 0.5000  4 In 2.86
Ag 0.5000 0.5000 0.0000  4 In 2.86

## Properties
- space-group type = I-42d
- formation energy (kJ/mol of formula units) = -57
- energy (eV per cell) = -21.67
- density of states at the Fermi level (states/eV/f.u.) = 2.4

=====

[9]
Material: Ba2InAg3
Method: DFT, GGA-PBE
State: relaxed

a = 6.3512 Å, b = 6.3512 Å, c = 8.2606 Å
α = 128.39°, β = 128.39°, γ = 47.55°
Closest atoms and distances in Å follow each position.
Fractional positions:
Ba 0.0000 0.0000 0.0000  9 Ag 3.44-3.77, 3 In 3.55-3.63
Ba 0.1020 0.1020 0.6018  9 Ag 3.46-3.80, 3 In 3.53-3.77
In 0.7202 0.7202 0.4020  4 Ag 2.94-3.03
Ag 0.3874 0.3874 0.1955  3 Ag 2.97-3.16, 1 In 2.99
Ag 0.3879 0.3879 0.5787  2 In 2.94, 2 Ag 2.98-3.16
Ag 0.7101 0.7101 0.0259  3 Ag 2.97-2.98, 1 In 3.03

## Properties
- space-group type = Cm
- formation energy (kJ/mol of formula units) = -170
- energy (eV per cell) = -16.89
- density of states at the Fermi level (states/eV/f.u.) = 3.5

=====

[10]
Material: Ba3In4Ag2
Method: DFT, GGA-PBE
State: relaxed

a = 6.3912 Å, b = 6.3912 Å, c = 10.0131 Å
α = 101.36°, β = 101.36°, γ = 48.22°
Closest atoms and distances in Å follow each position.
Fractional positions:
Ba 0.0000 0.0000 0.0000  6 In 3.55-3.59
Ba 0.3817 0.3817 0.3045  4 Ag 3.44-3.77, 8 In 3.63-3.75
Ba 0.6183 0.6183 0.6955  4 Ag 3.44-3.77, 8 In 3.63-3.75
In 0.1099 0.1099 0.4251  3 Ag 2.92-2.98, 1 In 3.24
In 0.2844 0.2844 0.9279  1 Ag 2.82
In 0.7156 0.7156 0.0721  1 Ag 2.82
In 0.8901 0.8901 0.5749  3 Ag 2.92-2.98, 1 In 3.24
Ag 0.3182 0.3182 0.6578  4 In 2.82-2.98
Ag 0.6818 0.6818 0.3422  4 In 2.82-2.98

## Properties
- space-group type = C2/m
- formation energy (kJ/mol of formula units) = -300
- energy (eV per cell) = -25.53
- density of states at the Fermi level (states/eV/f.u.) = 6.3

=====

[11]
Material: Ba2In2Ag15
Method: DFT, GGA-PBE
State: relaxed

a = 7.5231 Å, b = 7.5231 Å, c = 7.5231 Å
α = 82.96°, β = 82.96°, γ = 82.96°
Closest atoms and distances in Å follow each position.
Fractional positions:
Ba 0.1518 0.1518 0.1518  18 Ag 3.50-3.90, 1 In 3.59
Ba 0.8482 0.8482 0.8482  18 Ag 3.50-3.90, 1 In 3.59
In 0.3989 0.3989 0.3989  1 In 2.94, 6 Ag 3.03-3.08
In 0.6011 0.6011 0.6011  1 In 2.94, 6 Ag 3.03-3.08
Ag 0.0000 0.5000 0.5000  8 Ag 2.86-2.88, 2 In 3.03
Ag 0.1548 0.1548 0.6532  8 Ag 2.88-3.02, 1 In 3.08
Ag 0.1548 0.6532 0.1548  8 Ag 2.88-3.02, 1 In 3.08
Ag 0.1987 0.5000 0.8013  8 Ag 2.86-3.02
Ag 0.1987 0.8013 0.5000  8 Ag 2.86-3.02
Ag 0.3468 0.8452 0.8452  8 Ag 2.88-3.02, 1 In 3.08
Ag 0.5000 0.0000 0.5000  8 Ag 2.86-2.88, 2 In 3.03
Ag 0.5000 0.1987 0.8013  8 Ag 2.86-3.02
Ag 0.5000 0.5000 0.0000  8 Ag 2.86-2.88, 2 In 3.03
Ag 0.5000 0.8013 0.1987  8 Ag 2.86-3.02
Ag 0.6532 0.1548 0.1548  8 Ag 2.88-3.02, 1 In 3.08
Ag 0.8013 0.1987 0.5000  8 Ag 2.86-3.02
Ag 0.8013 0.5000 0.1987  8 Ag 2.86-3.02
Ag 0.8452 0.3468 0.8452  8 Ag 2.88-3.02, 1 In 3.08
Ag 0.8452 0.8452 0.3468  8 Ag 2.88-3.02, 1 In 3.08

## Properties
- space-group type = R-3m
- formation energy (kJ/mol of formula units) = -188
- energy (eV per cell) = -54.04
- density of states at the Fermi level (states/eV/f.u.) = 8.4

=====

[12]
Material: Ba3In4Ag4
Method: DFT, GGA-PBE
State: relaxed

a = 4.5316 Å, b = 4.9092 Å, c = 15.4523 Å
α = 99.09°, β = 98.39°, γ = 90.14°
Closest atoms and distances in Å follow each position.
Fractional positions:
Ba 0.0000 0.0000 0.0000  8 Ag 3.64-3.65, 4 In 3.70
Ba 0.1487 0.6475 0.2964  6 Ag 3.59-3.78, 8 In 3.68-3.98
Ba 0.8513 0.3525 0.7036  6 Ag 3.59-3.78, 8 In 3.68-3.98
In 0.2520 0.2519 0.5035  4 Ag 2.90-2.99
In 0.4023 0.9044 0.8063  3 Ag 2.86-2.87
In 0.5977 0.0956 0.1937  3 Ag 2.86-2.87
In 0.7480 0.7481 0.4965  4 Ag 2.90-2.99
Ag 0.3075 0.8088 0.6164  5 In 2.87-2.99
Ag 0.4522 0.4527 0.9037  2 In 2.86, 1 Ag 2.91
Ag 0.5478 0.5473 0.0963  2 In 2.86, 1 Ag 2.91
Ag 0.6925 0.1912 0.3836  5 In 2.87-2.99

## Properties
- space-group type = P-1
- formation energy (kJ/mol of formula units) = -330
- energy (eV per cell) = -31.55
- density of states at the Fermi level (states/eV/f.u.) = 6.9